Entry 1:
This record from Alexandria via LeMat-Bulk describes a relaxed structure of Bi2IrI. The functional is PBE-GGA.

The total energy comes out at -15.49 eV/f.u. The calculation puts the density of states at the Fermi level at 12.54 states/eV per cell.

Unit cell a=7.413 b=7.413 c=7.413 alpha=90.00 beta=90.00 gamma=90.00
Space group Fm-3m (No. 225)
Asymmetric unit:
Bi (0.250, 0.250, 0.250) x8
Ir (0.000, 0.000, 0.000) x4
I (0.000, 0.000, 0.500) x4



Entry 2:
This record from Alexandria via LeMat-Bulk describes a relaxed structure of Bi2IrI. The functional is PBE-GGA.

The total energy comes out at -17.18 eV/f.u. The calculation puts the density of states at the Fermi level at 5.37 states/eV per cell.

Unit cell a=7.123 b=7.123 c=12.304 alpha=90.00 beta=90.00 gamma=90.00
Space group I-42d (No. 122)
Asymmetric unit:
Bi (0.157, 0.250, 0.125) x8
Ir (0.000, 0.000, 0.000) x4
I (0.000, 0.000, 0.500) x4



Entry 3:
This record from Alexandria via LeMat-Bulk describes a relaxed structure of Bi4IrI5. The functional is PBE-GGA.

The total energy comes out at -34.71 eV/f.u. The calculation puts the density of states at the Fermi level at 7.08 states/eV per cell.

Unit cell a=21.147 b=4.234 c=9.196 alpha=90.00 beta=90.21 gamma=90.00
Space group C2/m (No. 12)
Asymmetric unit:
Bi (0.000, 0.000, 0.195) x4
Bi (0.129, 0.500, 0.001) x4
Ir (0.000, 0.500, 0.000) x2
I (0.000, 0.500, 0.500) x2
I (0.153, 0.000, 0.257) x4
I (0.153, 0.000, 0.745) x4



Entry 4:
This record from Alexandria via LeMat-Bulk describes a relaxed structure of LiBiIr2I. The functional is PBE-GGA.

The total energy comes out at -18.86 eV/f.u. The calculation puts the density of states at the Fermi level at 6.34 states/eV per cell.

Unit cell a=5.073 b=5.073 c=5.276 alpha=90.00 beta=90.00 gamma=90.00
Space group P4/mmm (No. 123)
Asymmetric unit:
Li (0.000, 0.000, 0.000) x1
Bi (0.000, 0.000, 0.500) x1
Ir (0.000, 0.500, 0.500) x2
I (0.500, 0.500, 0.000) x1



Entry 5:
This record from Alexandria via LeMat-Bulk describes a relaxed structure of BiIrIN2. The functional is PBE-GGA.

The total energy comes out at -24.37 eV/f.u. The calculation puts the density of states at the Fermi level at 5.79 states/eV per cell.

Unit cell a=3.992 b=3.992 c=7.703 alpha=90.00 beta=90.00 gamma=90.00
Space group P4/mmm (No. 123)
Asymmetric unit:
Bi (0.000, 0.000, 0.000) x1
Ir (0.500, 0.500, 0.500) x1
I (0.500, 0.500, 0.000) x1
N (0.000, 0.500, 0.500) x2



Entry 6:
This record from Alexandria via LeMat-Bulk describes a relaxed structure of BiIrIN2. The functional is PBE-GGA.

The total energy comes out at -20.08 eV/f.u. The calculation puts the density of states at the Fermi level at 4.00 states/eV per cell.

Unit cell a=4.172 b=4.172 c=7.237 alpha=90.00 beta=90.00 gamma=90.00
Space group P4/mmm (No. 123)
Asymmetric unit:
Bi (0.000, 0.000, 0.000) x1
Ir (0.500, 0.500, 0.500) x1
I (0.000, 0.000, 0.500) x1
N (0.000, 0.500, 0.000) x2



Entry 7:
This record from Alexandria via LeMat-Bulk describes a relaxed structure of BiIrI2O. The functional is PBE-GGA.

The total energy comes out at -16.40 eV/f.u. The calculation puts the density of states at the Fermi level at 6.10 states/eV per cell.

Unit cell a=6.136 b=6.136 c=4.219 alpha=90.00 beta=90.00 gamma=90.00
Space group P4/mmm (No. 123)
Asymmetric unit:
Bi (0.000, 0.000, 0.000) x1
Ir (0.500, 0.500, 0.500) x1
I (0.000, 0.500, 0.000) x2
O (0.000, 0.000, 0.500) x1



Entry 8:
This record from Alexandria via LeMat-Bulk describes a relaxed structure of BiIrI2O. The functional is PBE-GGA.

The total energy comes out at -20.60 eV/f.u. The calculation puts the density of states at the Fermi level at 4.56 states/eV per cell.

Unit cell a=5.801 b=5.801 c=3.758 alpha=90.00 beta=90.00 gamma=90.00
Space group P4/mmm (No. 123)
Asymmetric unit:
Bi (0.000, 0.000, 0.000) x1
Ir (0.500, 0.500, 0.500) x1
I (0.000, 0.500, 0.500) x2
O (0.500, 0.500, 0.000) x1



Entry 9:
This record from Alexandria via LeMat-Bulk describes a relaxed structure of BiP2IrI. The functional is PBE-GGA.

The total energy comes out at -17.44 eV/f.u. The calculation puts the density of states at the Fermi level at 5.22 states/eV per cell.

Unit cell a=5.106 b=5.106 c=4.943 alpha=90.00 beta=90.00 gamma=90.00
Space group P4/mmm (No. 123)
Asymmetric unit:
Bi (0.000, 0.000, 0.000) x1
P (0.000, 0.500, 0.500) x2
Ir (0.500, 0.500, 0.000) x1
I (0.500, 0.500, 0.500) x1



Entry 10:
This record from Alexandria via LeMat-Bulk describes a relaxed structure of Bi2IrPdI. The functional is PBE-GGA.

The total energy comes out at -19.81 eV/f.u. The calculation puts the density of states at the Fermi level at 2.20 states/eV per cell.

Unit cell a=5.266 b=5.266 c=5.523 alpha=90.00 beta=90.00 gamma=90.00
Space group P4/mmm (No. 123)
Asymmetric unit:
Bi (0.000, 0.500, 0.000) x2
Ir (0.000, 0.000, 0.000) x1
Pd (0.500, 0.500, 0.500) x1
I (0.000, 0.000, 0.500) x1



Entry 11:
This record from Alexandria via LeMat-Bulk describes a relaxed structure of Rb2BiIrI6. The functional is PBE-GGA.

The total energy comes out at -29.65 eV/f.u. The calculation puts the density of states at the Fermi level at 8.24 states/eV per cell.

Unit cell a=8.347 b=8.347 c=11.849 alpha=90.00 beta=90.00 gamma=90.00
Space group I4/mmm (No. 139)
Asymmetric unit:
Rb (0.000, 0.500, 0.250) x4
Bi (0.000, 0.000, 0.000) x2
Ir (0.000, 0.000, 0.500) x2
I (0.000, 0.000, 0.267) x4
I (0.233, 0.233, 0.500) x8



Entry 12:
This record from Alexandria via LeMat-Bulk describes a relaxed structure of SrBi2IrI. The functional is PBE-GGA.

The total energy comes out at -19.96 eV/f.u. The calculation puts the density of states at the Fermi level at 4.78 states/eV per cell.

Unit cell a=5.374 b=5.374 c=5.831 alpha=90.00 beta=90.00 gamma=90.00
Space group P4/mmm (No. 123)
Asymmetric unit:
Sr (0.000, 0.000, 0.000) x1
Bi (0.000, 0.500, 0.500) x2
Ir (0.500, 0.500, 0.500) x1
I (0.500, 0.500, 0.000) x1



ΔE_f (raw)? In order: 0.67, 0.25, -0.26, 1.24, 1.31, 2.17, 0.88, 0.04, 1.54, 0.71, -0.57, -0.02 eV per atom.